Compound: Rb3Ac2CrO6
Source: Alexandria via LeMat-Bulk
Functional: PBE with a Hubbard U
Structure: relaxed

abc: 6.3055 6.3055 6.8909
angles: 98.59 98.59 120.07
Last column: nearest neighbours and their distance in Å.
Fractional coordinates of all 12 atoms:
Rb 0.0000 0.0000 0.0000  6 O 2.91-3.16
Rb 0.3422 0.6578 0.0000  4 O 2.85-2.89
Rb 0.6578 0.3422 0.0000  4 O 2.85-2.89
Ac 0.1671 0.8329 0.5000  6 O 2.53
Ac 0.8329 0.1671 0.5000  6 O 2.53
Cr 0.5000 0.5000 0.5000  6 O 2.17-2.18
O 0.1509 0.4414 0.3232  1 Cr 2.17
O 0.2661 0.2661 0.6772  1 Cr 2.18
O 0.4414 0.1509 0.3232  1 Cr 2.17
O 0.5586 0.8491 0.6768  1 Cr 2.17
O 0.7339 0.7339 0.3228  1 Cr 2.18
O 0.8491 0.5586 0.6768  1 Cr 2.17

Results
Total DFT energy (no corrections) in eV/cell: -74.09